Entry 1:
Cd5Ag8Pt after structural relaxation. Source: Alexandria, functional PBE.

Computed properties:
energy: -64.9 eV/cell

a = 8.2591 Å, b = 8.2591 Å, c = 8.1730 Å
α = 90.00°, β = 90.00°, γ = 90.00°
Last column: nearest neighbours and their distance in Å.
Space group I-4 (No. 82)
Symmetry-distinct sites (fractional):
Cd (0.0000, 0.0000, 0.0000) (multiplicity 2)  8 Ag 2.79-2.89
Cd (0.1103, 0.2094, 0.6036) (multiplicity 8)  8 Ag 2.79-3.05
Ag (0.0635, 0.3384, 0.9364) (multiplicity 8)  3 Ag 2.87-3.08, 5 Cd 2.89-3.05, 1 Pt 2.94
Ag (0.1077, 0.1891, 0.2609) (multiplicity 8)  1 Pt 2.72, 5 Cd 2.79-2.92, 1 Ag 2.95
Pt (0.0000, 0.5000, 0.2500) (multiplicity 2)  8 Ag 2.72-2.94

Entry 2:
CdAg2Pt after structural relaxation. Source: Alexandria, functional PBE.

Computed properties:
energy: -26.0 eV/cell

a = 9.5737 Å, b = 2.9685 Å, c = 5.0789 Å
α = 90.00°, β = 100.33°, γ = 90.00°
Last column: nearest neighbours and their distance in Å.
Space group Cm (No. 8)
Symmetry-distinct sites (fractional):
Cd (0.0000, 0.0000, 0.0000) (multiplicity 2)  3 Pt 2.85-2.88, 7 Ag 2.91-2.98, 2 Cd 2.97
Ag (0.0080, 0.5000, 0.5091) (multiplicity 2)  5 Ag 2.84-2.97, 3 Pt 2.89-2.97, 4 Cd 2.91-2.97
Ag (0.2557, 0.5000, 0.2730) (multiplicity 2)  5 Ag 2.84-2.97, 3 Cd 2.93-2.98, 4 Pt 2.93-2.95
Pt (0.2539, 0.0000, 0.7699) (multiplicity 2)  3 Cd 2.85-2.88, 7 Ag 2.89-2.97, 2 Pt 2.97

Entry 3:
CdAg4Pt after structural relaxation. Source: Alexandria, functional PBE.

Computed properties:
energy: -36.6 eV/cell
ΔE to the lowest computed polymorph: 0.0000 eV per atom

a = 4.7368 Å, b = 8.1841 Å, c = 5.6017 Å
α = 90.00°, β = 90.23°, γ = 90.00°
Last column: nearest neighbours and their distance in Å.
Space group C2/m (No. 12)
Symmetry-distinct sites (fractional):
Cd (0.0000, 0.0000, 0.0000) (multiplicity 2)  2 Pt 2.80, 12 Ag 3.08-3.09
Ag (0.0020, 0.3332, 0.2551) (multiplicity 8)  5 Ag 2.73-2.86, 2 Pt 3.05
Pt (0.0000, 0.0000, 0.5000) (multiplicity 2)  2 Cd 2.80, 12 Ag 3.05-3.07

Entry 4:
Cd2Ag5Pt after structural relaxation. Source: Alexandria, functional PBE.

Computed properties:
energy: -45.5 eV/cell

a = 5.9631 Å, b = 11.9061 Å, c = 4.0854 Å
α = 90.00°, β = 90.00°, γ = 90.00°
Last column: nearest neighbours and their distance in Å.
Space group Pbam (No. 55)
Symmetry-distinct sites (fractional):
Cd (0.2331, 0.1195, 0.0000) (multiplicity 4)  2 Pt 2.85, 10 Ag 2.94-3.03
Ag (0.0000, 0.5000, 0.5000) (multiplicity 2)  6 Ag 2.92-2.98, 4 Cd 2.95, 2 Pt 2.98
Ag (0.0142, 0.7503, 0.5000) (multiplicity 4)  7 Ag 2.90-2.98, 4 Cd 2.96-2.98, 1 Pt 2.97
Ag (0.2411, 0.3730, 0.0000) (multiplicity 4)  6 Ag 2.90-2.94, 4 Cd 2.94-3.03, 2 Pt 2.97
Pt (0.0000, 0.0000, 0.5000) (multiplicity 2)  4 Cd 2.85, 8 Ag 2.97-2.98

Entry 5:
Cd2AgPt after structural relaxation. Source: Alexandria, functional PBE.

Computed properties:
energy: -22.8 eV/cell

a = 10.5412 Å, b = 2.9900 Å, c = 4.9901 Å
α = 90.00°, β = 109.09°, γ = 90.00°
Last column: nearest neighbours and their distance in Å.
Space group Cm (No. 8)
Symmetry-distinct sites (fractional):
Cd (0.0000, 0.0000, 0.0000) (multiplicity 2)  4 Pt 2.87-2.95, 3 Ag 2.88-2.95, 2 Cd 2.99
Cd (0.2268, 0.0000, 0.6164) (multiplicity 2)  3 Pt 2.87-2.94, 4 Ag 2.92-2.93, 2 Cd 2.99
Ag (0.2549, 0.5000, 0.1369) (multiplicity 2)  7 Cd 2.88-2.95, 2 Pt 2.90, 2 Ag 2.99
Pt (0.4825, 0.0000, 0.4974) (multiplicity 2)  7 Cd 2.87-2.95, 2 Ag 2.90, 2 Pt 2.99

Entry 6:
Cd5Ag2Pt2 after structural relaxation. Source: Alexandria, functional PBE.

Computed properties:
energy: -93.1 eV/cell

a = 17.4169 Å, b = 4.8419 Å, c = 8.1393 Å
α = 90.00°, β = 90.00°, γ = 90.00°
Last column: nearest neighbours and their distance in Å.
Space group Ima2 (No. 46)
Symmetry-distinct sites (fractional):
Cd (0.0830, 0.9997, 0.0000) (multiplicity 8)  3 Pt 2.74-2.76, 2 Cd 2.89-3.06, 2 Ag 2.91-3.06
Cd (0.1623, 0.0005, 0.6643) (multiplicity 8)  2 Ag 2.83-3.08, 3 Pt 3.01-3.13, 6 Cd 3.05-3.16
Cd (0.2500, 0.5027, 0.8310) (multiplicity 4)  3 Ag 2.75-2.76, 2 Pt 2.92
Ag (0.0000, 0.0000, 0.6692) (multiplicity 4)  8 Cd 2.83-3.14, 6 Pt 3.06-3.13
Ag (0.2500, 0.0029, 0.9934) (multiplicity 4)  5 Cd 2.75-2.91
Pt (0.0823, 0.0001, 0.3372) (multiplicity 8)  5 Cd 2.74-3.01, 1 Pt 2.87, 1 Ag 3.06

Entry 7:
Cd4Ag5Pt2 after structural relaxation. Source: Alexandria, functional PBE.

Computed properties:
energy: -56.9 eV/cell

a = 2.8859 Å, b = 7.9423 Å, c = 20.2336 Å
α = 90.00°, β = 90.00°, γ = 90.00°
Last column: nearest neighbours and their distance in Å.
Space group Immm (No. 71)
Symmetry-distinct sites (fractional):
Cd (0.0000, 0.0000, 0.2453) (multiplicity 4)  1 Pt 2.67, 2 Cd 2.89, 4 Ag 2.93
Cd (0.0000, 0.3155, 0.0000) (multiplicity 4)  3 Cd 2.89-2.93, 4 Ag 2.89-3.01
Ag (0.0000, 0.3259, 0.1488) (multiplicity 8)  1 Pt 2.69, 3 Ag 2.77-2.89, 2 Cd 2.93
Ag (0.0000, 0.5000, 0.5000) (multiplicity 2)  4 Pt 2.71, 2 Ag 2.89, 4 Cd 2.89
Pt (0.0000, 0.0000, 0.1134) (multiplicity 4)  1 Cd 2.67, 4 Ag 2.69-2.71, 2 Pt 2.89

Entry 8:
CdAgPt after structural relaxation. Source: Alexandria, functional PBE.

Computed properties:
energy: -20.6 eV/cell
ΔE to the lowest computed polymorph: 0.0000 eV per atom

a = 2.9572 Å, b = 4.0930 Å, c = 8.7577 Å
α = 90.00°, β = 90.00°, γ = 90.00°
Last column: nearest neighbours and their distance in Å.
Space group Imm2 (No. 44)
Symmetry-distinct sites (fractional):
Cd (0.0000, 0.0000, 0.0000) (multiplicity 2)  5 Ag 2.87-2.94, 5 Pt 2.90-2.96, 2 Cd 2.96
Ag (0.0000, 0.0000, 0.3279) (multiplicity 2)  5 Cd 2.87-2.94, 5 Pt 2.91-2.93, 2 Ag 2.96
Pt (0.0000, 0.0000, 0.6624) (multiplicity 2)  5 Cd 2.90-2.96, 5 Ag 2.91-2.93, 2 Pt 2.96

Entry 9:
Cd5AgPt4 after structural relaxation. Source: Alexandria, functional PBE.

Computed properties:
energy: -34.3 eV/cell

a = 3.0193 Å, b = 3.0193 Å, c = 19.6452 Å
α = 90.00°, β = 90.00°, γ = 90.00°
Last column: nearest neighbours and their distance in Å.
Space group P4/mmm (No. 123)
Symmetry-distinct sites (fractional):
Cd (0.0000, 0.0000, 0.0000) (multiplicity 1)  8 Pt 2.88, 4 Cd 3.02
Cd (0.0000, 0.0000, 0.1962) (multiplicity 2)  8 Pt 2.87-2.88, 4 Cd 3.02
Cd (0.0000, 0.0000, 0.3920) (multiplicity 2)  4 Pt 2.86, 4 Ag 3.01, 4 Cd 3.02
Ag (0.5000, 0.5000, 0.5000) (multiplicity 1)  8 Cd 3.01, 4 Ag 3.02
Pt (0.5000, 0.5000, 0.0982) (multiplicity 2)  8 Cd 2.87-2.88, 4 Pt 3.02
Pt (0.5000, 0.5000, 0.2950) (multiplicity 2)  8 Cd 2.86-2.88, 4 Pt 3.02

Entry 10:
CdAgPt2 after structural relaxation. Source: Alexandria, functional PBE.

Computed properties:
energy: -32.8 eV/cell

a = 9.6850 Å, b = 2.8802 Å, c = 4.9383 Å
α = 90.00°, β = 100.30°, γ = 90.00°
Last column: nearest neighbours and their distance in Å.
Space group C2/m (No. 12)
Symmetry-distinct sites (fractional):
Cd (0.0000, 0.0000, 0.0000) (multiplicity 2)  4 Ag 2.86, 2 Cd 2.88, 6 Pt 2.89-2.92
Ag (0.0000, 0.5000, 0.5000) (multiplicity 2)  4 Cd 2.86, 2 Ag 2.88, 6 Pt 2.90
Pt (0.2491, 0.5000, 0.2512) (multiplicity 4)  6 Pt 2.85-2.88, 3 Cd 2.89-2.92, 3 Ag 2.90

Entry 11:
CdAgPt after structural relaxation. Source: Alexandria, functional PBE.

Computed properties:
energy: -20.3 eV/cell
ΔE to the lowest computed polymorph: 0.0391 eV per atom

a = 3.0302 Å, b = 3.0302 Å, c = 11.6020 Å
α = 90.00°, β = 90.00°, γ = 90.00°
Last column: nearest neighbours and their distance in Å.
Space group I4mm (No. 107)
Symmetry-distinct sites (fractional):
Cd (0.0000, 0.0000, 0.0000) (multiplicity 2)  4 Pt 2.83, 4 Ag 2.97, 4 Cd 3.03
Ag (0.0000, 0.0000, 0.3225) (multiplicity 2)  4 Pt 2.86, 4 Cd 2.97, 4 Ag 3.03
Pt (0.0000, 0.0000, 0.6597) (multiplicity 2)  4 Cd 2.83, 4 Ag 2.86, 4 Pt 3.03

Entry 12:
CdAg2Pt after structural relaxation. Source: Alexandria, functional PBE.

Computed properties:
energy: -25.1 eV/cell

a = 3.0135 Å, b = 4.8512 Å, c = 9.7784 Å
α = 90.00°, β = 90.00°, γ = 90.00°
Last column: nearest neighbours and their distance in Å.
Space group Cmmm (No. 65)
Symmetry-distinct sites (fractional):
Cd (0.0000, 0.0000, 0.0000) (multiplicity 2)  6 Cd 2.86-3.01, 4 Ag 2.94
Ag (0.0000, 0.5000, 0.2577) (multiplicity 4)  2 Pt 2.81, 6 Ag 2.86-3.01, 2 Cd 2.94
Pt (0.0000, 0.0000, 0.5000) (multiplicity 2)  4 Ag 2.81, 6 Pt 2.86-3.01